A plane-wave DFT calculation with PBE was carried out for Nd4HoEr10 after structural relaxation.

a = 7.9270 Å, b = 8.8722 Å, c = 8.8722 Å
α = 78.49°, β = 63.47°, γ = 63.47°
Last column: nearest neighbours and their distance in Å.
Fractional positions:
Er  0.7500  0.5000  0.5000  4 Er 3.30
Er  0.4980  0.2081  0.2080  4 Er 3.27-3.30, 1 Ho 3.30, 4 Nd 3.46-3.54
Er  0.9142  0.7919  0.7920  4 Er 3.27-3.30, 1 Ho 3.30, 4 Nd 3.46-3.54
Er  0.2500  0.5000  0.5000  4 Er 3.30
Er  0.2939  0.2080  0.7919  4 Er 3.27-3.30, 1 Ho 3.30, 4 Nd 3.46-3.54
Er  0.7061  0.2080  0.7919  4 Er 3.27-3.30, 1 Ho 3.30, 4 Nd 3.46-3.54
Er  0.0858  0.2081  0.2080  4 Er 3.27-3.30, 1 Ho 3.30, 4 Nd 3.46-3.54
Er  0.2939  0.7920  0.2081  4 Er 3.27-3.30, 1 Ho 3.30, 4 Nd 3.46-3.54
Er  0.5020  0.7919  0.7920  4 Er 3.27-3.30, 1 Ho 3.30, 4 Nd 3.46-3.54
Er  0.7061  0.7920  0.2081  4 Er 3.27-3.30, 1 Ho 3.30, 4 Nd 3.46-3.54
Nd  0.2277  0.9997  0.5449  8 Er 3.46-3.54, 1 Ho 3.61
Nd  0.7726  0.4551  0.9997  8 Er 3.46-3.54, 1 Ho 3.61
Nd  0.2274  0.5449  0.0003  8 Er 3.46-3.54, 1 Ho 3.61
Nd  0.7723  0.0003  0.4551  8 Er 3.46-3.54, 1 Ho 3.61
Ho  0.0000  0.0000  0.0000  8 Er 3.30, 4 Nd 3.61

Output
SG	I4/mmm
E_form	273	meV/atom


A plane-wave DFT calculation with PBE was carried out for Nd5HoEr3 after structural relaxation.

a = 6.3062 Å, b = 10.9532 Å, c = 11.7517 Å
α = 124.98°, β = 90.00°, γ = 106.73°
Last column: nearest neighbours and their distance in Å.
Fractional positions:
Nd  0.5297  0.7249  0.3843  2 Er 3.14-3.50
Nd  0.0077  0.3606  0.5301  4 Er 3.42-3.74, 5 Nd 3.51-3.61, 1 Ho 3.65
Nd  0.6471  0.6394  0.9699  4 Er 3.42-3.74, 5 Nd 3.51-3.61, 1 Ho 3.65
Nd  0.1952  0.7249  0.8843  2 Er 3.14-3.50
Nd  0.4703  0.2751  0.6157  2 Er 3.14-3.50
Nd  0.5974  0.0000  0.2500  2 Ho 3.09-3.21
Nd  0.4026  0.0000  0.7500  2 Ho 3.09-3.21
Nd  0.3529  0.3606  0.0301  4 Er 3.42-3.74, 5 Nd 3.51-3.61, 1 Ho 3.65
Nd  0.9923  0.6394  0.4699  4 Er 3.42-3.74, 5 Nd 3.51-3.61, 1 Ho 3.65
Nd  0.8048  0.2751  0.1157  2 Er 3.14-3.50
Ho  0.8932  0.0000  0.7500  4 Er 3.01-3.32, 2 Nd 3.09-3.21
Ho  0.1068  0.0000  0.2500  4 Er 3.01-3.32, 2 Nd 3.09-3.21
Er  0.0000  0.0000  0.0000  2 Ho 3.01, 2 Nd 3.14
Er  0.6035  0.6483  0.6749  1 Ho 3.32, 2 Er 3.38-3.64, 4 Nd 3.42-3.56
Er  0.0000  0.0000  0.5000  2 Ho 3.01, 2 Nd 3.14
Er  0.9552  0.3517  0.8251  1 Ho 3.32, 2 Er 3.38-3.64, 4 Nd 3.42-3.56
Er  0.0448  0.6483  0.1749  1 Ho 3.32, 2 Er 3.38-3.64, 4 Nd 3.42-3.56
Er  0.3965  0.3517  0.3251  1 Ho 3.32, 2 Er 3.38-3.64, 4 Nd 3.42-3.56

Output
SG	C2/c
E_form	276	meV/atom